Record 1
## GePIrN (PBE-GGA)

Data for a relaxed GePIrN crystal.

total DFT energy (no corrections): -6.930 eV/atom
space group: Pm (6)
formation energy without anion corrections: -127 meV/atom
energy above the most stable polymorph in this dataset: 43 meV per atom

POSCAR file:
```
GePIrN
1.0
4.2829 0.0000 0.0000
0.0000 2.8097 0.0000
-0.0976 0.0000 4.6221
Ge P Ir N
1 1 1 1
Cartesian
0.0000 0.0000 0.0000 Ge
2.6895 1.4048 2.5201 P
2.1020 1.4048 0.2325 Ir
3.7381 0.0000 2.6240 N
```

***

Record 2
## Pa2Ge2IrN2 (PBE-GGA)

Data for a relaxed Pa2Ge2IrN2 crystal.

total DFT energy (no corrections): -8.103 eV/atom
space group: P-3m1 (164)
formation energy without anion corrections: -426 meV/atom

POSCAR file:
```
Pa2Ge2IrN2
1.0
3.7301 0.0000 0.0000
-1.8651 3.2304 0.0000
0.0000 0.0000 11.7716
Pa Ge Ir N
2 2 1 2
Cartesian
0.0000 2.1536 3.9304 Pa
1.8651 1.0768 7.8412 Pa
0.0000 0.0000 1.2486 Ge
0.0000 0.0000 10.5230 Ge
0.0000 0.0000 5.8858 Ir
0.0000 2.1536 8.3562 N
1.8651 1.0768 3.4155 N
```

***

Record 3
## PrGeIrN (PBE-GGA)

Data for a relaxed PrGeIrN crystal.

total DFT energy (no corrections): -7.451 eV/atom
space group: P4/nmm (129)
formation energy without anion corrections: -805 meV/atom

POSCAR file:
```
PrGeIrN
1.0
4.0612 0.0000 0.0000
0.0000 4.0612 0.0000
0.0000 0.0000 8.5056
Pr Ge Ir N
2 2 2 2
Cartesian
1.0153 1.0153 1.3332 Pr
3.0459 3.0459 7.1725 Pr
1.0153 1.0153 5.6064 Ge
3.0459 3.0459 2.8992 Ge
1.0153 3.0459 4.2528 Ir
3.0459 1.0153 4.2528 Ir
1.0153 1.0153 7.4866 N
3.0459 3.0459 1.0190 N
```

***

Record 4
## GeIrS2N (PBE-GGA)

Data for a relaxed GeIrS2N crystal.

total DFT energy (no corrections): -4.749 eV/atom
space group: P4/mmm (123)
formation energy without anion corrections: 1263 meV/atom
energy above the most stable polymorph in this dataset: 848 meV per atom

POSCAR file:
```
GeIrS2N
1.0
4.8067 0.0000 0.0000
0.0000 4.8067 0.0000
0.0000 0.0000 3.4110
Ge Ir S N
1 1 2 1
Cartesian
0.0000 0.0000 0.0000 Ge
2.4033 2.4033 1.7055 Ir
0.0000 2.4033 0.0000 S
2.4033 0.0000 0.0000 S
0.0000 0.0000 1.7055 N
```

***

Record 5
## GeIrS2N (PBE-GGA)

Data for a relaxed GeIrS2N crystal.

total DFT energy (no corrections): -5.597 eV/atom
space group: P4/mmm (123)
formation energy without anion corrections: 414 meV/atom
energy above the most stable polymorph in this dataset: 0 meV per atom

POSCAR file:
```
GeIrS2N
1.0
4.9007 0.0000 0.0000
0.0000 4.9007 0.0000
0.0000 0.0000 3.6665
Ge Ir S N
1 1 2 1
Cartesian
0.0000 0.0000 0.0000 Ge
2.4503 2.4503 1.8332 Ir
0.0000 2.4503 1.8332 S
2.4503 0.0000 1.8332 S
2.4503 2.4503 0.0000 N
```

***

Record 6
## Ta2GeIrN (PBE-GGA)

Data for a relaxed Ta2GeIrN crystal.

total DFT energy (no corrections): -9.283 eV/atom
space group: P4/mmm (123)
formation energy without anion corrections: -181 meV/atom

POSCAR file:
```
Ta2GeIrN
1.0
4.2092 0.0000 0.0000
0.0000 4.2092 0.0000
0.0000 0.0000 4.1494
Ta Ge Ir N
2 1 1 1
Cartesian
0.0000 2.1046 0.0000 Ta
2.1046 0.0000 0.0000 Ta
0.0000 0.0000 2.0747 Ge
2.1046 2.1046 2.0747 Ir
2.1046 2.1046 0.0000 N
```

***

Record 7
## GeTe2IrN (PBE-GGA)

Data for a relaxed GeTe2IrN crystal.

total DFT energy (no corrections): -4.554 eV/atom
space group: P4/mmm (123)
formation energy without anion corrections: 1063 meV/atom
energy above the most stable polymorph in this dataset: 699 meV per atom

POSCAR file:
```
GeTe2IrN
1.0
5.4257 0.0000 0.0000
0.0000 5.4257 0.0000
0.0000 0.0000 3.4331
Ge Te Ir N
1 2 1 1
Cartesian
0.0000 0.0000 0.0000 Ge
0.0000 2.7128 0.0000 Te
2.7128 0.0000 0.0000 Te
2.7128 2.7128 1.7166 Ir
0.0000 0.0000 1.7166 N
```

***

Record 8
## GeTe2IrN (PBE-GGA)

Data for a relaxed GeTe2IrN crystal.

total DFT energy (no corrections): -5.254 eV/atom
space group: P4/mmm (123)
formation energy without anion corrections: 364 meV/atom
energy above the most stable polymorph in this dataset: 0 meV per atom

POSCAR file:
```
GeTe2IrN
1.0
5.5547 0.0000 0.0000
0.0000 5.5547 0.0000
0.0000 0.0000 3.6644
Ge Te Ir N
1 2 1 1
Cartesian
0.0000 0.0000 0.0000 Ge
0.0000 2.7773 1.8322 Te
2.7773 0.0000 1.8322 Te
2.7773 2.7773 1.8322 Ir
2.7773 2.7773 0.0000 N
```

***

Ordered magnetic moment results: 0.0, 0.0, 0.0, 0.0, 0.0, 0.0, 0.0, 0.0; unit μB per formula unit.
Ordered N(E_F) results: 0.52, 2.76, 3.14, 6.36, 2.33, 2.73, 3.54, 4.02; unit states/eV/cell.